Entry 1:
SbTe2Au | GGA-PBE | relaxed

```
8
Lattice="6.6294 0.0000 0.0000 0.0000 6.6294 0.0000 3.3147 3.3147 6.7978" Properties=species:S:1:pos:R:3 pbc="T T T"
Au 6.6294 3.3147 3.3989
Au 0.0000 0.0000 0.0000
Te 5.1839 1.6573 1.6995
Te 1.4455 4.9720 1.6995
Te 4.9720 4.7602 5.0984
Te 8.2867 8.4986 5.0984
Sb 3.3147 6.6294 3.3989
Sb 3.3147 3.3147 0.0000
```

Computed properties:
The calculated total energy is -13.4 eV/f.u. The raw formation energy is 0.07 eV/atom.

Entry 2:
TmTh5Bi4 | GGA-PBE | relaxed

```
10
Lattice="-0.1863 -1.9006 3.7866 8.2592 2.8269 1.8253 -5.0349 8.1194 1.4527" Properties=species:S:1:pos:R:3 pbc="T T T"
Tm -0.0932 -0.9503 1.8933
Bi 1.9133 0.8143 0.5029
Bi 1.1246 8.2315 6.5617
Bi -1.2506 1.5968 3.1148
Bi 4.2885 7.4490 3.9498
Th 4.0364 0.4632 2.8059
Th -1.7077 4.4371 4.5179
Th 1.9770 5.3521 5.1585
Th 1.0609 3.6937 1.9061
Th 4.7456 4.6087 2.5467
```

Computed properties:
The calculated total energy is -59.2 eV/f.u.

Q: Which formula does entry 1 have?
A: SbTe2Au

Q: What is the formula in the second record?
A: TmTh5Bi4

Q: What is the calculated total energy in the second record?
A: -59.2 eV/f.u.

What did the first record say?
SbTe2Au | GGA-PBE | relaxed

```
8
Lattice="6.6294 0.0000 0.0000 0.0000 6.6294 0.0000 3.3147 3.3147 6.7978" Properties=species:S:1:pos:R:3 pbc="T T T"
Au 6.6294 3.3147 3.3989
Au 0.0000 0.0000 0.0000
Te 5.1839 1.6573 1.6995
Te 1.4455 4.9720 1.6995
Te 4.9720 4.7602 5.0984
Te 8.2867 8.4986 5.0984
Sb 3.3147 6.6294 3.3989
Sb 3.3147 3.3147 0.0000
```

Computed properties:
The calculated total energy is -13.4 eV/f.u. The raw formation energy is 0.07 eV/atom.